No. 1
PaSbH2 | GGA-PBE | optimized geometry

Structure (POSCAR):
```
PaSbH2
1.0
3.821 0.000 0.000
1.910 3.309 0.000
1.910 1.103 4.644
Sb Pa H
1 1 2
Cartesian
0.000 0.000 0.000
3.821 2.206 2.322
5.731 3.309 2.781
1.910 1.103 1.863
```

Properties
Energy ... -22.14 eV per cell
Fermi-level density of states ... 0.013 states/eV/atom



No. 2
Pa2SbH3 | GGA-PBE | optimized geometry

Structure (POSCAR):
```
Pa2SbH3
1.0
3.732 -0.160 1.129
0.488 6.300 5.063
-0.117 1.129 8.293
Pa Sb H
4 2 6
Cartesian
2.138 2.551 8.159
1.965 4.717 6.326
3.219 5.149 10.368
0.884 2.120 4.117
3.290 0.671 2.678
0.813 6.598 11.807
1.240 4.065 10.159
0.372 3.903 7.703
2.542 1.105 5.351
1.561 6.164 9.134
3.731 3.366 6.782
2.863 3.204 4.326
```

Properties
Energy ... -70.74 eV per cell
Fermi-level density of states ... 1.229 states/eV/atom



No. 3
Pa4Sb3H | GGA-PBE | optimized geometry

Structure (POSCAR):
```
Pa4Sb3H
1.0
-4.966 -2.283 3.845
6.087 -2.746 -0.265
3.558 5.536 1.165
Pa Sb H
4 3 1
Cartesian
6.880 2.429 1.259
2.426 1.141 0.844
-0.247 0.000 2.643
5.317 -0.399 0.707
1.840 2.754 3.293
-1.213 2.801 4.315
2.537 -1.551 2.525
4.661 1.766 1.022
```

Properties
Energy ... -55.41 eV per cell
Fermi-level density of states ... 1.702 states/eV/atom



No. 4
Pa2SnSbH2 | GGA-PBE | optimized geometry

Structure (POSCAR):
```
Pa2SnSbH2
1.0
-3.165 1.456 1.956
-0.432 -1.459 -3.694
-1.541 -7.647 3.200
Pa Sn Sb H
2 1 1 2
Cartesian
-2.498 -6.220 0.589
-2.640 -1.429 0.873
-0.770 -3.824 1.600
0.000 0.000 0.000
-1.734 -2.427 -0.999
-3.404 -5.223 2.461
```

Properties
Energy ... -36.17 eV per cell
Fermi-level density of states ... 0.965 states/eV/atom



No. 5
Pa2SbTeH2 | GGA-PBE | optimized geometry

Structure (POSCAR):
```
Pa2SbTeH2
1.0
-1.364 -1.915 3.239
3.239 -1.364 -1.915
4.958 4.828 4.943
Pa Sb Te H
2 1 1 2
Cartesian
5.400 2.051 3.487
1.432 -0.502 2.779
2.479 2.414 2.471
0.000 0.000 0.000
2.949 -0.336 1.044
3.883 1.885 5.223
```

Properties
Energy ... -36.53 eV per cell
Fermi-level density of states ... 1.629 states/eV/atom



No. 6
Pa2SbTe2H2 | GGA-PBE | optimized geometry

Structure (POSCAR):
```
Pa2SbTe2H2
1.0
4.021 0.000 0.000
2.011 3.483 0.000
2.011 1.161 11.793
Pa Sb Te H
2 1 2 2
Cartesian
6.032 3.483 9.674
2.011 1.161 2.119
0.000 0.000 0.000
2.011 1.161 7.671
6.032 3.483 4.122
4.021 2.322 2.072
4.021 2.322 9.721
```

Properties
Energy ... -40.85 eV per cell
Fermi-level density of states ... 0.926 states/eV/atom



Question: Among the records above, which one has the lowest energy?
Answer: Pa2SbH3



Question: What is the Fermi-level density of states in the fourth record?
Answer: 0.965 states/eV/atom



Question: Which of these has the highest energy?
Answer: PaSbH2